Density functional theory data (PBE) for a geometry-optimized RbBa2CoCl8 structure. Values from VASP.

Quantum ESPRESSO input file:
```
&SYSTEM
  ibrav = 0, nat = 12, ntyp = 4
/
ATOMIC_SPECIES
Cl 35.45 Cl.upf
Ba 137.33 Ba.upf
Rb 85.47 Rb.upf
Co 58.93 Co.upf
CELL_PARAMETERS angstrom
-6.0275 1.4710 1.6165
0.4242 -1.1033 -6.8284
-0.3046 -8.9344 -1.2534
ATOMIC_POSITIONS crystal
Cl 0.3672 0.1130 0.0970
Cl 0.0634 0.7750 0.8855
Ba 0.6122 0.3786 0.7899
Cl 0.9366 0.2250 0.1145
Cl 0.5290 0.2738 0.4729
Cl 0.0673 0.2672 0.7806
Ba 0.3878 0.6214 0.2101
Rb 0.0000 0.0000 0.5000
Cl 0.6328 0.8870 0.9030
Co 0.0000 0.0000 0.0000
Cl 0.9327 0.7328 0.2194
Cl 0.4710 0.7262 0.5271
```

Summary:
Its mass density is 3.3 g cm⁻³. The volume is 29.713 Å³ per atom. The energy relative to the elements, uncorrected is -1737.9 meV per atom.